Version P
The following is a PBE calculation of an optimized crystal structure of TeRh2I2, from Alexandria.

Calculated values
crystal system = tetragonal

Unit cell a=3.9574 b=3.9574 c=16.3710 alpha=90.00 beta=90.00 gamma=90.00
With the nearest neighbours (Å) after each atom.
Space group I4/mmm (No. 139)
One atom of each set of equivalent atoms:
Te: 0.0000 0.0000 0.0000 (multiplicity 2)  8 I 3.63, 4 Te 3.96
Rh: 0.0000 0.5000 0.2500 (multiplicity 4)  4 I 2.66, 4 Rh 2.80
I: 0.0000 0.0000 0.3590 (multiplicity 4)  4 Rh 2.66



Version Q
The following is a PBE calculation of an optimized crystal structure of TeRh2I2, from Alexandria.

Calculated values
crystal system = tetragonal

Unit cell a=8.4945 b=8.4945 c=3.3079 alpha=90.00 beta=90.00 gamma=90.00
With the nearest neighbours (Å) after each atom.
Space group P4/mbm (No. 127)
One atom of each set of equivalent atoms:
Te: 0.0000 0.0000 0.0000 (multiplicity 2)  4 I 3.23, 2 Te 3.31
Rh: 0.1132 0.3868 0.5000 (multiplicity 4)  1 Rh 2.72, 4 I 2.81
I: 0.1519 0.6519 0.0000 (multiplicity 4)  4 Rh 2.81



Q: Which of them is the most stable? A: version P.



Version P
The following is a PBE calculation of an optimized crystal structure of TiTe2RhI, from Alexandria.

Calculated values
crystal system = tetragonal

Unit cell a=5.2216 b=5.2216 c=5.2561 alpha=90.00 beta=90.00 gamma=90.00
With the nearest neighbours (Å) after each atom.
Space group P4/mmm (No. 123)
One atom of each set of equivalent atoms:
Ti: 0.0000 0.0000 0.0000 (multiplicity 1)  4 I 3.69, 8 Te 3.70
Te: 0.0000 0.5000 0.5000 (multiplicity 2)  2 Rh 2.61
Rh: 0.5000 0.5000 0.5000 (multiplicity 1)  4 Te 2.61, 2 I 2.63
I: 0.5000 0.5000 0.0000 (multiplicity 1)  2 Rh 2.63



Version Q
The following is a PBE calculation of an optimized crystal structure of TiTe2RhI, from Alexandria.

Calculated values
crystal system = tetragonal

Unit cell a=5.2660 b=5.2660 c=5.3989 alpha=90.00 beta=90.00 gamma=90.00
With the nearest neighbours (Å) after each atom.
Space group P4/mmm (No. 123)
One atom of each set of equivalent atoms:
Ti: 0.0000 0.0000 0.0000 (multiplicity 1)  4 Te 2.63, 2 I 2.70
Te: 0.0000 0.5000 0.0000 (multiplicity 2)  2 Ti 2.63
Rh: 0.5000 0.5000 0.5000 (multiplicity 1)  4 I 3.72, 8 Te 3.77
I: 0.0000 0.0000 0.5000 (multiplicity 1)  2 Ti 2.70



Q: Which of them is the most stable? A: version P.



Version P
The following is a PBE calculation of an optimized crystal structure of TlTeRhI2, from Alexandria.

Calculated values
crystal system = tetragonal

Unit cell a=6.0419 b=6.0419 c=5.7833 alpha=90.00 beta=90.00 gamma=90.00
With the nearest neighbours (Å) after each atom.
Space group P4/mmm (No. 123)
One atom of each set of equivalent atoms:
Tl: 0.0000 0.0000 0.0000 (multiplicity 1)  2 Te 2.89, 4 I 3.02
Te: 0.0000 0.0000 0.5000 (multiplicity 1)  2 Tl 2.89
Rh: 0.5000 0.5000 0.5000 (multiplicity 1)  8 I 4.18, 4 Te 4.27
I: 0.0000 0.5000 0.0000 (multiplicity 2)  2 Tl 3.02



Version Q
The following is a PBE calculation of an optimized crystal structure of TlTeRhI2, from Alexandria.

Calculated values
crystal system = tetragonal

Unit cell a=5.7173 b=5.7173 c=5.0867 alpha=90.00 beta=90.00 gamma=90.00
With the nearest neighbours (Å) after each atom.
Space group P4/mmm (No. 123)
One atom of each set of equivalent atoms:
Tl: 0.0000 0.0000 0.0000 (multiplicity 1)  8 I 3.83, 4 Te 4.04
Te: 0.5000 0.5000 0.0000 (multiplicity 1)  2 Rh 2.54
Rh: 0.5000 0.5000 0.5000 (multiplicity 1)  2 Te 2.54
I: 0.0000 0.5000 0.5000 (multiplicity 2)  2 Rh 2.86



Q: Which of them is the most stable? A: version Q.



Version P
The following is a PBE calculation of an optimized crystal structure of VTeRhI2, from Alexandria.

Calculated values
crystal system = tetragonal

Unit cell a=5.2940 b=5.2940 c=5.3521 alpha=90.00 beta=90.00 gamma=90.00
With the nearest neighbours (Å) after each atom.
Space group P4/mmm (No. 123)
One atom of each set of equivalent atoms:
V: 0.0000 0.0000 0.0000 (multiplicity 1)  4 Te 3.74, 8 I 3.76
Te: 0.5000 0.5000 0.0000 (multiplicity 1)  2 Rh 2.68
Rh: 0.5000 0.5000 0.5000 (multiplicity 1)  4 I 2.65, 2 Te 2.68
I: 0.0000 0.5000 0.5000 (multiplicity 2)  2 Rh 2.65



Version Q
The following is a PBE calculation of an optimized crystal structure of VTeRhI2, from Alexandria.

Calculated values
crystal system = tetragonal

Unit cell a=5.3350 b=5.3350 c=5.1247 alpha=90.00 beta=90.00 gamma=90.00
With the nearest neighbours (Å) after each atom.
Space group P4/mmm (No. 123)
One atom of each set of equivalent atoms:
V: 0.0000 0.0000 0.0000 (multiplicity 1)  2 Te 2.56, 4 I 2.67
Te: 0.0000 0.0000 0.5000 (multiplicity 1)  2 V 2.56
Rh: 0.5000 0.5000 0.5000 (multiplicity 1)  8 I 3.70, 4 Te 3.77
I: 0.0000 0.5000 0.0000 (multiplicity 2)  2 V 2.67



Q: Which of them is the most stable? A: version Q.



Version P
The following is a PBE calculation of an optimized crystal structure of TeRhWI2, from Alexandria.

Calculated values
crystal system = tetragonal

Unit cell a=5.6696 b=5.6696 c=5.1497 alpha=90.00 beta=90.00 gamma=90.00
With the nearest neighbours (Å) after each atom.
Space group P4/mmm (No. 123)
One atom of each set of equivalent atoms:
Te: 0.0000 0.0000 0.0000 (multiplicity 1)  2 W 2.57
Rh: 0.5000 0.5000 0.0000 (multiplicity 1)  8 I 3.83, 4 Te 4.01
W: 0.0000 0.0000 0.5000 (multiplicity 1)  2 Te 2.57, 4 I 2.83
I: 0.0000 0.5000 0.5000 (multiplicity 2)  2 W 2.83



Version Q
The following is a PBE calculation of an optimized crystal structure of TeRhWI2, from Alexandria.

Calculated values
crystal system = tetragonal

Unit cell a=5.1974 b=5.1974 c=5.2236 alpha=90.00 beta=90.00 gamma=90.00
With the nearest neighbours (Å) after each atom.
Space group P4/mmm (No. 123)
One atom of each set of equivalent atoms:
Te: 0.0000 0.0000 0.0000 (multiplicity 1)  2 Rh 2.61
Rh: 0.0000 0.0000 0.5000 (multiplicity 1)  4 I 2.60, 2 Te 2.61
W: 0.5000 0.5000 0.0000 (multiplicity 1)  4 Te 3.68, 8 I 3.68
I: 0.0000 0.5000 0.5000 (multiplicity 2)  2 Rh 2.60



Q: Which of them is the most stable? A: version P.



Version P
The following is a PBE calculation of an optimized crystal structure of YTe2RhI, from Alexandria.

Calculated values
crystal system = tetragonal

Unit cell a=5.8790 b=5.8790 c=5.8458 alpha=90.00 beta=90.00 gamma=90.00
With the nearest neighbours (Å) after each atom.
Space group P4/mmm (No. 123)
One atom of each set of equivalent atoms:
Y: 0.0000 0.0000 0.0000 (multiplicity 1)  2 I 2.92, 4 Te 2.94
Te: 0.0000 0.5000 0.0000 (multiplicity 2)  2 Y 2.94
Rh: 0.5000 0.5000 0.5000 (multiplicity 1)  8 Te 4.15, 4 I 4.16
I: 0.0000 0.0000 0.5000 (multiplicity 1)  2 Y 2.92



Version Q
The following is a PBE calculation of an optimized crystal structure of YTe2RhI, from Alexandria.

Calculated values
crystal system = tetragonal

Unit cell a=5.3221 b=5.3221 c=5.1885 alpha=90.00 beta=90.00 gamma=90.00
With the nearest neighbours (Å) after each atom.
Space group P4/mmm (No. 123)
One atom of each set of equivalent atoms:
Y: 0.0000 0.0000 0.0000 (multiplicity 1)  8 Te 3.72, 4 I 3.76
Te: 0.0000 0.5000 0.5000 (multiplicity 2)  2 Rh 2.66
Rh: 0.5000 0.5000 0.5000 (multiplicity 1)  2 I 2.59, 4 Te 2.66
I: 0.5000 0.5000 0.0000 (multiplicity 1)  2 Rh 2.59



Q: Which of them is the most stable? A: version Q.



Version P
The following is a PBE calculation of an optimized crystal structure of Ti2RhI, from Alexandria.

Calculated values
crystal system = cubic

Unit cell a=6.5482 b=6.5482 c=6.5482 alpha=90.00 beta=90.00 gamma=90.00
With the nearest neighbours (Å) after each atom.
Space group Fm-3m (No. 225)
One atom of each set of equivalent atoms:
Ti: 0.2500 0.2500 0.2500 (multiplicity 8)  4 Rh 2.84, 4 I 2.84
Rh: 0.0000 0.0000 0.0000 (multiplicity 4)  8 Ti 2.84
I: 0.0000 0.0000 0.5000 (multiplicity 4)  8 Ti 2.84



Version Q
The following is a PBE calculation of an optimized crystal structure of Ti2RhI, from Alexandria.

Calculated values
crystal system = tetragonal

Unit cell a=6.0924 b=6.0924 c=11.5020 alpha=90.00 beta=90.00 gamma=90.00
With the nearest neighbours (Å) after each atom.
Space group I-42d (No. 122)
One atom of each set of equivalent atoms:
Ti: 0.1912 0.2500 0.1250 (multiplicity 8)  2 Rh 2.40
Rh: 0.0000 0.0000 0.0000 (multiplicity 4)  4 Ti 2.40
I: 0.0000 0.0000 0.5000 (multiplicity 4)  4 Ti 2.82



Q: Which of them is the most stable? A: version P.



Version P
The following is a PBE calculation of an optimized crystal structure of VRhI2, from Alexandria.

Calculated values
crystal system = tetragonal

Unit cell a=5.9658 b=5.9658 c=12.9847 alpha=90.00 beta=90.00 gamma=90.00
With the nearest neighbours (Å) after each atom.
Space group I-42d (No. 122)
One atom of each set of equivalent atoms:
V: 0.0000 0.0000 0.0000 (multiplicity 4)  4 I 2.68
Rh: 0.0000 0.0000 0.5000 (multiplicity 4)  4 I 2.65
I: 0.2452 0.2500 0.6250 (multiplicity 8)  2 Rh 2.65, 2 V 2.68



Version Q
The following is a PBE calculation of an optimized crystal structure of VRhI2, from Alexandria.

Calculated values
crystal system = cubic

Unit cell a=6.9698 b=6.9698 c=6.9698 alpha=90.00 beta=90.00 gamma=90.00
With the nearest neighbours (Å) after each atom.
Space group Fm-3m (No. 225)
One atom of each set of equivalent atoms:
V: 0.0000 0.0000 0.0000 (multiplicity 4)  8 I 3.02
Rh: 0.0000 0.0000 0.5000 (multiplicity 4)  8 I 3.02
I: 0.2500 0.2500 0.2500 (multiplicity 8)  4 V 3.02, 4 Rh 3.02



Q: Which of them is the most stable? A: version P.